# HgOs2Cl | Alexandria | GGA-PBEsol | optimized geometry
data_HgOs2Cl
_chemical_formula_sum 'Hg2 Os4 Cl2'
_cell_length_a 2.790
_cell_length_b 4.974
_cell_length_c 9.888
_cell_angle_alpha 90.00
_cell_angle_beta 90.00
_cell_angle_gamma 90.00
_symmetry_space_group_name_H-M 'C m m 2'
_symmetry_Int_Tables_number 35
_symmetry_space_group_name_Hall 'C 2 -2'
loop_
_atom_site_label
_atom_site_fract_x
_atom_site_fract_y
_atom_site_fract_z
Hg1 0.000 0.000 0.000
Os1 0.000 0.000 0.481
Os2 0.000 0.500 0.265
Cl1 0.000 0.500 0.686
# * energy above the most stable polymorph in this dataset: 0 meV per atom

---

A relaxed structure of SbAsSe2N, computed with GGA-PBEsol.

CIF file:
```
data_SbAsSe2N
_chemical_formula_sum 'Sb1 As1 Se2 N1'
_cell_length_a 5.270
_cell_length_b 5.270
_cell_length_c 5.363
_cell_angle_alpha 90.00
_cell_angle_beta 90.00
_cell_angle_gamma 90.00
_symmetry_space_group_name_H-M 'P 4/m m m'
_symmetry_Int_Tables_number 123
_symmetry_space_group_name_Hall '-P 4 2'
loop_
_atom_site_label
_atom_site_fract_x
_atom_site_fract_y
_atom_site_fract_z
Sb1 0.000 0.000 0.000
As1 0.000 0.000 0.500
Se1 0.000 0.500 0.000
N1 0.500 0.500 0.500
```

---

A relaxed structure of MgTaSe2, computed with GGA-PBEsol.

CIF file:
```
data_MgTaSe2
_chemical_formula_sum 'Mg2 Ta2 Se4'
_cell_length_a 3.512
_cell_length_b 4.831
_cell_length_c 9.607
_cell_angle_alpha 90.00
_cell_angle_beta 90.00
_cell_angle_gamma 90.00
_symmetry_space_group_name_H-M 'C m m 2'
_symmetry_Int_Tables_number 35
_symmetry_space_group_name_Hall 'C 2 -2'
loop_
_atom_site_label
_atom_site_fract_x
_atom_site_fract_y
_atom_site_fract_z
Mg1 0.000 0.000 0.000
Ta1 0.000 0.500 0.245
Se1 0.000 0.000 0.439
Se2 0.000 0.500 0.792
```

---

A relaxed structure of Bi2BO5, computed with GGA-PBEsol.

CIF file:
```
data_Bi2BO5
_chemical_formula_sum 'Bi8 B4 O20'
_cell_length_a 13.691
_cell_length_b 5.414
_cell_length_c 5.464
_cell_angle_alpha 90.00
_cell_angle_beta 90.00
_cell_angle_gamma 90.00
_symmetry_space_group_name_H-M 'C m c 21'
_symmetry_Int_Tables_number 36
_symmetry_space_group_name_Hall 'C 2c -2'
loop_
_atom_site_label
_atom_site_fract_x
_atom_site_fract_y
_atom_site_fract_z
Bi1 0.157 0.229 0.000
B1 0.000 0.306 0.438
O1 0.000 0.437 0.958
O2 0.089 0.186 0.423
O3 0.241 0.499 0.235
```

---

Formation energy without anion corrections / eV per atom: 0.677; 1.717; -0.180; -1.531